(1)
## BaSrCa2Cd4 (PBE-GGA)

Data for an optimized crystal structure of BaSrCa2Cd4.

Summary:
The value obtained for the formation energy is -320 meV/atom.

a b c (Å): 5.6644 5.6644 27.8707
angles (deg): 90.00 90.00 120.00
Last column: nearest neighbours and their distance in Å.
Space group R-3m (No. 166, hexagonal axes)
One atom of each set of equivalent atoms:
Ba: 0.0000 0.0000 0.0000 x3  8 Cd 3.50-3.54
Sr: 0.0000 0.0000 0.5000 x3  8 Cd 3.40-3.45
Ca: 0.0000 0.0000 0.2486 x6  8 Cd 3.39-3.60
Cd: 0.0000 0.0000 0.1271 x6  4 Ca 3.39-3.48, 3 Sr 3.45, 1 Ba 3.54
Cd: 0.0000 0.0000 0.3780 x6  1 Sr 3.40, 4 Ca 3.46-3.60, 3 Ba 3.50

(2)
## In12Sb3Pb5 (PBE-GGA)

Data for an optimized crystal structure of In12Sb3Pb5.

Summary:
Its energy relative to the elements, uncorrected is 0.19 eV/atom.

a b c (Å): 17.8648 17.8648 17.8648
angles (deg): 90.00 90.00 90.00
Last column: nearest neighbours and their distance in Å.
Space group Ia-3d (No. 230)
One atom of each set of equivalent atoms:
In: 0.0106 0.0775 0.6542 x96  2 Pb 3.00-3.09, 2 Sb 3.13-3.27, 1 In 3.18
Sb: 0.0000 0.2500 0.1250 x24  8 In 3.13-3.27
Pb: 0.0000 0.0000 0.0000 x16  6 In 3.09
Pb: 0.0000 0.2500 0.3750 x24  4 In 3.00

(3)
## La4PrBi5 (PBE-GGA)

Data for an optimized crystal structure of La4PrBi5.

Summary:
The value obtained for the formation energy is -1038 meV/atom.

a b c (Å): 4.6972 6.6336 23.4537
angles (deg): 90.00 90.00 90.00
Last column: nearest neighbours and their distance in Å.
Space group Immm (No. 71)
One atom of each set of equivalent atoms:
La: 0.0000 0.0000 0.0997 x4  6 Bi 3.31-3.33
La: 0.0000 0.0000 0.3007 x4  6 Bi 3.32-3.33
Pr: 0.0000 0.0000 0.5000 x2  6 Bi 3.30-3.32
Bi: 0.0000 0.5000 0.0991 x4  2 Pr 3.30, 4 La 3.32
Bi: 0.0000 0.5000 0.2999 x4  6 La 3.32-3.33
Bi: 0.0000 0.5000 0.5000 x2  4 La 3.31, 2 Pr 3.32

(4)
## CaMg4Mo (PBE-GGA)

Data for an optimized crystal structure of CaMg4Mo.

Summary:
The value obtained for the formation energy is 372 meV/atom.

a b c (Å): 8.2349 8.2349 8.2349
angles (deg): 90.00 90.00 90.00
Last column: nearest neighbours and their distance in Å.
Space group F-43m (No. 216)
One atom of each set of equivalent atoms:
Ca: 0.0000 0.0000 0.0000 x4  12 Mg 3.42, 4 Mo 3.57
Mg: 0.1240 0.1240 0.6240 x16  6 Mg 2.89-2.93
Mo: 0.2500 0.2500 0.2500 x4  12 Mg 3.41, 4 Ca 3.57

(5)
## NaAcGaBi (PBE-GGA)

Data for an optimized crystal structure of NaAcGaBi.

Summary:
The value obtained for the formation energy is -353 meV/atom.

a b c (Å): 7.9034 7.9034 7.9034
angles (deg): 90.00 90.00 90.00
Last column: nearest neighbours and their distance in Å.
Space group F-43m (No. 216)
One atom of each set of equivalent atoms:
Na: 0.0000 0.0000 0.0000 x4  4 Bi 3.42, 4 Ga 3.42
Ac: 0.0000 0.0000 0.5000 x4  4 Bi 3.42, 4 Ga 3.42
Ga: 0.2500 0.2500 0.7500 x4  4 Ac 3.42, 4 Na 3.42
Bi: 0.2500 0.2500 0.2500 x4  4 Ac 3.42, 4 Na 3.42

(6)
## Rb3AgI2Br6 (PBE-GGA)

Data for an optimized crystal structure of Rb3AgI2Br6.

Summary:
Its energy relative to the elements, uncorrected is -0.84 eV/atom.

a b c (Å): 7.7911 7.7911 8.8160
angles (deg): 90.00 90.00 120.00
Last column: nearest neighbours and their distance in Å.
Space group P-3m1 (No. 164)
One atom of each set of equivalent atoms:
Rb: 0.0000 0.0000 0.0000 x1  6 Br 3.55
Rb: 0.3333 0.6667 0.6302 x2  9 Br 3.61-3.92, 1 I 3.83
Ag: 0.0000 0.0000 0.5000 x1  6 Br 2.64
I: 0.3333 0.6667 0.0643 x2  3 Br 3.28
Br: 0.1577 0.3153 0.3221 x6  1 Ag 2.64

(7)
## La8HRu3I3 (PBE-GGA)

Data for an optimized crystal structure of La8HRu3I3.

Summary:
The total energy comes out at -5.65 eV/atom.

a b c (Å): 14.3754 8.2810 9.5852
angles (deg): 90.00 120.07 90.00
Last column: nearest neighbours and their distance in Å.
Space group C2/m (No. 12)
One atom of each set of equivalent atoms:
La: 0.0234 0.2470 0.3179 x8  2 Ru 2.82, 1 H 2.85
La: 0.2303 0.0000 0.6911 x4  3 Ru 2.87
La: 0.2299 0.5000 0.6823 x4  2 Ru 2.82, 1 H 2.86
H: 0.0000 0.5000 0.5000 x2  6 La 2.85-2.86
Ru: 0.0000 0.0000 0.5000 x2  6 La 2.82-2.87
Ru: 0.2500 0.2500 0.5000 x4  6 La 2.82-2.87
I: 0.0000 0.5000 0.0000 x2  6 La 3.51-3.57
I: 0.2500 0.2500 0.0000 x4  6 La 3.51-3.57

(8)
## Tb3Mg2Pb4 (PBE-GGA)

Data for an optimized crystal structure of Tb3Mg2Pb4.

Summary:
The value obtained for the formation energy is -380 meV/atom.

a b c (Å): 4.7149 7.0881 8.4523
angles (deg): 110.70 106.19 90.02
Last column: nearest neighbours and their distance in Å.
Space group P-1 (No. 2)
One atom of each set of equivalent atoms:
Tb: 0.0000 0.0000 0.0000 x1  6 Pb 3.12-3.38
Tb: 0.1249 0.6131 0.2489 x2  7 Pb 3.25-3.52, 3 Mg 3.45-3.49
Mg: 0.3282 0.9999 0.6595 x2  4 Pb 2.96-3.07
Pb: 0.2215 0.2720 0.4407 x2  3 Mg 2.96-3.07
Pb: 0.4813 0.6983 0.9628 x2  1 Mg 3.02, 1 Pb 3.09, 4 Tb 3.12-3.26